First-principles (PBE) data for a geometry-optimized Hf3CuPd structure, as listed in Alexandria via LeMat-Bulk.

It has space group Pm-3m (No. 221), with a = 4.797 Å, b = 4.797 Å, c = 4.797 Å, α = 90.00°, β = 90.00° and γ = 90.00°. The inequivalent atoms are Hf at (0.000, 0.000, 0.500), Cu at (0.000, 0.000, 0.000) and Pd at (0.500, 0.500, 0.500).

Its energy above the most stable polymorph in this dataset is 814 meV per atom. Its formation energy from the elements is 0.544 eV/atom. For the density of states at the Fermi level, the calculation gives 10.98 states/eV/f.u. The volume comes out at 110.4 Å³/f.u.

---

First-principles (PBE) data for a geometry-optimized Hf3CuPd structure, as listed in Alexandria via LeMat-Bulk.

It has space group C2/m (No. 12), with a = 14.049 Å, b = 3.246 Å, c = 8.382 Å, α = 90.00°, β = 95.17° and γ = 90.00°. The inequivalent atoms are Hf at (0.034, 0.000, 0.221), Hf at (0.097, 0.500, 0.565), Hf at (0.231, 0.000, 0.823), Cu at (0.208, 0.000, 0.403) and Pd at (0.100, 0.500, 0.963).

Its energy above the most stable polymorph in this dataset is 0 meV per atom. Its formation energy from the elements is -0.270 eV/atom. For the density of states at the Fermi level, the calculation gives 4.17 states/eV/f.u. The volume comes out at 95.2 Å³/f.u.

---

First-principles (PBE) data for a geometry-optimized HfCu2Pd5 structure, as listed in Alexandria via LeMat-Bulk.

It has space group I4/mcm (No. 140), with a = 6.685 Å, b = 6.685 Å, c = 11.080 Å, α = 90.00°, β = 90.00° and γ = 90.00°. The inequivalent atoms are Hf at (0.000, 0.000, 0.250), Cu at (0.140, 0.360, 0.000), Pd at (0.000, 0.000, 0.000) and Pd at (0.151, 0.349, 0.343).

Its energy above the most stable polymorph in this dataset is 71 meV per atom. Its formation energy from the elements is -0.354 eV/atom. For the density of states at the Fermi level, the calculation gives 2.74 states/eV/f.u. The volume comes out at 123.8 Å³/f.u.

---

First-principles (PBE) data for a geometry-optimized HfCuPd6 structure, as listed in Alexandria via LeMat-Bulk.

It has space group C2/m (No. 12), with a = 7.760 Å, b = 5.364 Å, c = 7.210 Å, α = 90.00°, β = 110.13° and γ = 90.00°. The inequivalent atoms are Hf at (0.000, 0.000, 0.000), Cu at (0.000, 0.500, 0.500), Pd at (0.147, 0.000, 0.438) and Pd at (0.190, 0.244, 0.798).

Its energy above the most stable polymorph in this dataset is 330 meV per atom. Its formation energy from the elements is -0.152 eV/atom. For the density of states at the Fermi level, the calculation gives 4.40 states/eV/f.u. The volume comes out at 140.9 Å³/f.u.

---

First-principles (PBE) data for a geometry-optimized HfCu5Pd6 structure, as listed in Alexandria via LeMat-Bulk.

It has space group P-1 (No. 2), with a = 4.054 Å, b = 6.335 Å, c = 7.098 Å, α = 89.95°, β = 89.92° and γ = 71.51°. The inequivalent atoms are Hf at (0.000, 0.000, 0.000), Cu at (0.000, 0.000, 0.500), Cu at (0.328, 0.344, 0.000), Cu at (0.337, 0.328, 0.500), Pd at (0.168, 0.664, 0.256), Pd at (0.168, 0.664, 0.744) and Pd at (0.500, 0.000, 0.254).

Its energy above the most stable polymorph in this dataset is 0 meV per atom. Its formation energy from the elements is -0.344 eV/atom. For the density of states at the Fermi level, the calculation gives 4.32 states/eV/f.u. The volume comes out at 172.9 Å³/f.u.

---

First-principles (PBE) data for a geometry-optimized HfCu2Pd structure, as listed in Alexandria via LeMat-Bulk.

It has space group I-42d (No. 122), with a = 7.144 Å, b = 7.144 Å, c = 5.171 Å, α = 90.00°, β = 90.00° and γ = 90.00°. The inequivalent atoms are Hf at (0.000, 0.000, 0.000), Cu at (0.234, 0.750, 0.625) and Pd at (0.000, 0.000, 0.500).

Its formation energy from the elements is 0.106 eV/atom. For the density of states at the Fermi level, the calculation gives 3.44 states/eV/f.u. The volume comes out at 66.0 Å³/f.u.

---

First-principles (PBE) data for a geometry-optimized Hf2Cu3Pd2 structure, as listed in Alexandria via LeMat-Bulk.

It has space group C2/m (No. 12), with a = 7.407 Å, b = 4.662 Å, c = 7.076 Å, α = 90.00°, β = 115.76° and γ = 90.00°. The inequivalent atoms are Hf at (0.072, 0.000, 0.243), Cu at (0.000, 0.500, 0.500), Cu at (0.234, 0.000, 0.663) and Pd at (0.142, 0.500, 0.912).

Its formation energy from the elements is -0.300 eV/atom. For the density of states at the Fermi level, the calculation gives 3.97 states/eV/f.u. The volume comes out at 110.0 Å³/f.u.

---

First-principles (PBE) data for a geometry-optimized HfCu2Pd7 structure, as listed in Alexandria via LeMat-Bulk.

It has space group Cmmm (No. 65), with a = 7.243 Å, b = 12.501 Å, c = 4.240 Å, α = 90.00°, β = 90.00° and γ = 90.00°. The inequivalent atoms are Hf at (0.000, 0.000, 0.000), Cu at (0.000, 0.303, 0.500), Pd at (0.000, 0.207, 0.000), Pd at (0.000, 0.500, 0.500) and Pd at (0.186, 0.112, 0.500).

Its formation energy from the elements is 0.116 eV/atom. For the density of states at the Fermi level, the calculation gives 8.59 states/eV/f.u. The volume comes out at 191.9 Å³/f.u.

---

Copy entry 2 word for word.
First-principles (PBE) data for a geometry-optimized Hf3CuPd structure, as listed in Alexandria via LeMat-Bulk.

It has space group C2/m (No. 12), with a = 14.049 Å, b = 3.246 Å, c = 8.382 Å, α = 90.00°, β = 95.17° and γ = 90.00°. The inequivalent atoms are Hf at (0.034, 0.000, 0.221), Hf at (0.097, 0.500, 0.565), Hf at (0.231, 0.000, 0.823), Cu at (0.208, 0.000, 0.403) and Pd at (0.100, 0.500, 0.963).

Its energy above the most stable polymorph in this dataset is 0 meV per atom. Its formation energy from the elements is -0.270 eV/atom. For the density of states at the Fermi level, the calculation gives 4.17 states/eV/f.u. The volume comes out at 95.2 Å³/f.u.